(1)
Li6MgSn5 | PBE | relaxed

Cell and atoms, written as extended XYZ:
```
12
Lattice="-0.864 4.088 -1.726 -5.520 -3.151 -4.704 -1.504 0.571 8.029" Properties=species:S:1:pos:R:3 pbc="T T T"
Mg 0.000 0.000 0.000
Sn -5.989 -0.861 0.958
Sn -4.794 0.823 -1.572
Sn -2.760 -1.576 -2.352
Sn -3.094 0.685 3.172
Sn -1.899 2.369 0.641
Li -3.023 -0.455 0.435
Li -5.704 -1.986 -1.851
Li -1.879 1.218 -2.096
Li -4.505 -0.281 -4.333
Li -2.183 3.494 3.450
Li -4.865 1.963 1.165
```

Values from the calculation:
The formation energy comes out at -0.31 eV/atom. Its space-group type is Immm (71).

(2)
YHfH2 | PBE | relaxed

Cell and atoms, written as extended XYZ:
```
4
Lattice="0.000 3.031 3.031 3.031 0.000 3.031 3.031 3.031 0.000" Properties=species:S:1:pos:R:3 pbc="T T T"
Y 0.000 0.000 0.000
H 1.515 1.515 1.515
H 4.546 4.546 4.546
Hf 3.031 3.031 3.031
```

Values from the calculation:
Its space-group type is Fm-3m (225). The calculated total energy comes out at -21.5 eV for the cell shown.

(3)
ScBF3 | PBE | relaxed

Cell and atoms, written as extended XYZ:
```
5
Lattice="4.136 0.000 0.000 0.000 4.136 0.000 0.000 0.000 4.136" Properties=species:S:1:pos:R:3 pbc="T T T"
Sc 0.000 0.000 0.000
B 2.068 2.068 2.068
F 0.000 2.068 0.000
F 0.000 0.000 2.068
F 2.068 0.000 0.000
```

Values from the calculation:
Its space-group type is Pm-3m (221). Its uncorrected formation energy is -1893 meV/atom.

(4)
NdSmGe | PBE | relaxed

Cell and atoms, written as extended XYZ:
```
3
Lattice="-2.953 -3.515 -2.065 0.678 -4.853 1.154 -3.395 -2.413 2.827" Properties=species:S:1:pos:R:3 pbc="T T T"
Ge -1.418 -2.695 0.479
Nd -2.835 -5.390 0.958
Sm 0.000 0.000 0.000
```

Values from the calculation:
The formation energy comes out at -0.54 eV/atom. Its space-group type is F-43m (216).